Entry 1:
Compound: ReTe2Ir
Source: Alexandria
Functional: SCAN
Structure: PBEsol geometry

Structure (CIF):
```
data_ReTe2Ir
_chemical_formula_sum 'Re1 Te2 Ir1'
_cell_length_a 4.6796
_cell_length_b 4.6796
_cell_length_c 4.6796
_cell_angle_alpha 60.00
_cell_angle_beta 60.00
_cell_angle_gamma 60.00
_symmetry_space_group_name_H-M 'P 1'
_symmetry_Int_Tables_number 1
_symmetry_space_group_name_Hall 'P 1'
loop_
_atom_site_label
_atom_site_type_symbol
_atom_site_fract_x
_atom_site_fract_y
_atom_site_fract_z
_atom_site_occupancy
Te1 Te 0.7500 0.7500 0.7500 1
Te2 Te 0.2500 0.2500 0.2500 1
Ir1 Ir 0.0000 0.0000 0.0000 1
Re1 Re 0.5000 0.5000 0.5000 1
```

Summary:
The volume comes out at 18.1 Å³ per atom. The calculated density comes out at 14.5 g cm⁻³. Its space group is Fm-3m (225). As for the uncorrected formation energy: 3.48 eV per formula unit.

Entry 2:
Compound: TaCdCu2
Source: Alexandria
Functional: SCAN
Structure: PBEsol geometry

Structure (CIF):
```
data_TaCdCu2
_chemical_formula_sum 'Ta1 Cd1 Cu2'
_cell_length_a 4.3905
_cell_length_b 4.3905
_cell_length_c 4.3905
_cell_angle_alpha 60.00
_cell_angle_beta 60.00
_cell_angle_gamma 60.00
_symmetry_space_group_name_H-M 'P 1'
_symmetry_Int_Tables_number 1
_symmetry_space_group_name_Hall 'P 1'
loop_
_atom_site_label
_atom_site_type_symbol
_atom_site_fract_x
_atom_site_fract_y
_atom_site_fract_z
_atom_site_occupancy
Cd1 Cd 0.5000 0.5000 0.5000 1
Cu1 Cu 0.7500 0.7500 0.7500 1
Cu2 Cu 0.0000 0.0000 0.0000 1
Ta1 Ta 0.2500 0.2500 0.2500 1
```

Summary:
The volume comes out at 15.0 Å³ per atom. The calculated density comes out at 11.7 g cm⁻³. Its space group is F-43m (216). The formation energy comes out at 436.9 meV per atom.

Entry 3:
Compound: TaRu2Rh
Source: Alexandria
Functional: SCAN
Structure: PBEsol geometry

Structure (CIF):
```
data_TaRu2Rh
_chemical_formula_sum 'Ta1 Ru2 Rh1'
_cell_length_a 4.3571
_cell_length_b 4.3571
_cell_length_c 4.3571
_cell_angle_alpha 60.00
_cell_angle_beta 60.00
_cell_angle_gamma 60.00
_symmetry_space_group_name_H-M 'P 1'
_symmetry_Int_Tables_number 1
_symmetry_space_group_name_Hall 'P 1'
loop_
_atom_site_label
_atom_site_type_symbol
_atom_site_fract_x
_atom_site_fract_y
_atom_site_fract_z
_atom_site_occupancy
Rh1 Rh 0.5000 0.5000 0.5000 1
Ru1 Ru 0.0000 0.0000 0.0000 1
Ru2 Ru 0.7500 0.7500 0.7500 1
Ta1 Ta 0.2500 0.2500 0.2500 1
```

Summary:
The volume comes out at 14.6 Å³ per atom. The calculated density comes out at 13.8 g cm⁻³. Its space group is F-43m (216). The formation energy comes out at 40.3 meV per atom.

Entry 4:
Compound: CrP
Source: Alexandria
Functional: SCAN
Structure: PBEsol geometry

Structure (CIF):
```
data_CrP
_chemical_formula_sum 'Cr2 P2'
_cell_length_a 4.0203
_cell_length_b 4.0203
_cell_length_c 4.0203
_cell_angle_alpha 60.00
_cell_angle_beta 60.00
_cell_angle_gamma 60.00
_symmetry_space_group_name_H-M 'P 1'
_symmetry_Int_Tables_number 1
_symmetry_space_group_name_Hall 'P 1'
loop_
_atom_site_label
_atom_site_type_symbol
_atom_site_fract_x
_atom_site_fract_y
_atom_site_fract_z
_atom_site_occupancy
Cr1 Cr 0.5000 0.5000 0.5000 1
Cr2 Cr 0.7500 0.7500 0.7500 1
P1 P 0.0000 0.0000 0.0000 1
P2 P 0.2500 0.2500 0.2500 1
```

Summary:
The volume comes out at 11.5 Å³ per atom. The calculated density comes out at 6.0 g cm⁻³. Its space group is Fd-3m (227). The formation energy comes out at 297.3 meV per atom.

Entry 5:
Compound: TaBeI2O
Source: Alexandria
Functional: SCAN
Structure: PBEsol geometry

Structure (CIF):
```
data_TaBeI2O
_chemical_formula_sum 'Ta1 Be1 I2 O1'
_cell_length_a 3.8477
_cell_length_b 5.5528
_cell_length_c 5.5528
_cell_angle_alpha 90.00
_cell_angle_beta 90.00
_cell_angle_gamma 90.00
_symmetry_space_group_name_H-M 'P 1'
_symmetry_Int_Tables_number 1
_symmetry_space_group_name_Hall 'P 1'
loop_
_atom_site_label
_atom_site_type_symbol
_atom_site_fract_x
_atom_site_fract_y
_atom_site_fract_z
_atom_site_occupancy
Ta1 Ta 0.0000 0.0000 0.0000 1
I1 I 0.0000 0.0000 0.5000 1
I2 I 0.0000 0.5000 0.0000 1
O1 O 0.5000 0.0000 0.0000 1
Be1 Be 0.5000 0.5000 0.5000 1
```

Summary:
The volume comes out at 23.7 Å³ per atom. The calculated density comes out at 6.4 g cm⁻³. Its space group is P4/mmm (123). As for the uncorrected formation energy: -0.68 eV per formula unit.

Entry 6:
Compound: Ca2MnBiF
Source: Alexandria
Functional: SCAN
Structure: PBEsol geometry

Structure (CIF):
```
data_Ca2MnBiF
_chemical_formula_sum 'Ca2 Mn1 Bi1 F1'
_cell_length_a 4.5511
_cell_length_b 6.0852
_cell_length_c 6.0852
_cell_angle_alpha 90.00
_cell_angle_beta 90.00
_cell_angle_gamma 90.00
_symmetry_space_group_name_H-M 'P 1'
_symmetry_Int_Tables_number 1
_symmetry_space_group_name_Hall 'P 1'
loop_
_atom_site_label
_atom_site_type_symbol
_atom_site_fract_x
_atom_site_fract_y
_atom_site_fract_z
_atom_site_occupancy
F1 F 0.5000 0.0000 0.0000 1
Bi1 Bi 0.0000 0.0000 0.0000 1
Ca1 Ca 0.0000 0.5000 0.0000 1
Ca2 Ca 0.0000 0.0000 0.5000 1
Mn1 Mn 0.5000 0.5000 0.5000 1
```

Summary:
The volume comes out at 33.7 Å³ per atom. The calculated density comes out at 3.6 g cm⁻³. Its space group is P4/mmm (123). As for the uncorrected formation energy: -1.59 eV per formula unit.

Entry 7:
Compound: TaCdRe
Source: Alexandria
Functional: SCAN
Structure: PBEsol geometry

Structure (CIF):
```
data_TaCdRe
_chemical_formula_sum 'Ta1 Cd1 Re1'
_cell_length_a 2.7478
_cell_length_b 4.5983
_cell_length_c 4.5983
_cell_angle_alpha 120.00
_cell_angle_beta 90.00
_cell_angle_gamma 90.00
_symmetry_space_group_name_H-M 'P 1'
_symmetry_Int_Tables_number 1
_symmetry_space_group_name_Hall 'P 1'
loop_
_atom_site_label
_atom_site_type_symbol
_atom_site_fract_x
_atom_site_fract_y
_atom_site_fract_z
_atom_site_occupancy
Ta1 Ta 0.3725 0.6667 0.3333 1
Cd1 Cd 0.9926 0.0000 0.0000 1
Re1 Re 0.6348 0.3333 0.6667 1
```

Summary:
The volume comes out at 16.8 Å³ per atom. The calculated density comes out at 15.8 g cm⁻³. Its space group is P3m1 (156). The formation energy comes out at 160.9 meV per atom.

Entry 8:
Compound: Zr2P2WO12
Source: Alexandria
Functional: SCAN
Structure: PBEsol geometry

Structure (CIF):
```
data_Zr2P2WO12
_chemical_formula_sum 'Zr8 P8 W4 O48'
_cell_length_a 9.2345
_cell_length_b 9.4136
_cell_length_c 12.4406
_cell_angle_alpha 90.00
_cell_angle_beta 90.00
_cell_angle_gamma 90.00
_symmetry_space_group_name_H-M 'P 1'
_symmetry_Int_Tables_number 1
_symmetry_space_group_name_Hall 'P 1'
loop_
_atom_site_label
_atom_site_type_symbol
_atom_site_fract_x
_atom_site_fract_y
_atom_site_fract_z
_atom_site_occupancy
O1 O 0.3589 0.7378 0.8261 1
O2 O 0.8505 0.6272 0.0706 1
O3 O 0.1411 0.2622 0.3261 1
O4 O 0.7013 0.0084 0.2213 1
O5 O 0.6495 0.3728 0.5706 1
O6 O 0.9559 0.4305 0.6498 1
O7 O 0.0441 0.9305 0.6498 1
O8 O 0.0751 0.6592 0.9060 1
O9 O 0.9559 0.0695 0.3502 1
O10 O 0.2013 0.0084 0.2787 1
O11 O 0.6411 0.2622 0.1739 1
O12 O 0.3505 0.8728 0.5706 1
O13 O 0.3589 0.7622 0.1739 1
O14 O 0.6732 0.4200 0.9717 1
O15 O 0.4249 0.3408 0.4060 1
O16 O 0.4249 0.1592 0.5940 1
O17 O 0.3505 0.6272 0.4294 1
O18 O 0.1411 0.2378 0.6739 1
O19 O 0.3268 0.5800 0.0283 1
O20 O 0.6495 0.1272 0.4294 1
O21 O 0.5441 0.9305 0.8502 1
O22 O 0.1732 0.4200 0.5283 1
O23 O 0.0751 0.8408 0.0940 1
O24 O 0.8505 0.8728 0.9294 1
O25 O 0.8589 0.7622 0.3261 1
O26 O 0.8268 0.9200 0.5283 1
O27 O 0.7013 0.4916 0.7787 1
O28 O 0.7987 0.9916 0.7213 1
O29 O 0.4559 0.0695 0.1498 1
O30 O 0.1495 0.3728 0.9294 1
O31 O 0.1732 0.0800 0.4717 1
O32 O 0.9249 0.1592 0.9060 1
O33 O 0.2987 0.5084 0.2213 1
O34 O 0.0441 0.5695 0.3502 1
O35 O 0.4559 0.4305 0.8502 1
O36 O 0.8268 0.5800 0.4717 1
O37 O 0.7987 0.5084 0.2787 1
O38 O 0.8589 0.7378 0.6739 1
O39 O 0.2013 0.4916 0.7213 1
O40 O 0.6411 0.2378 0.8261 1
O41 O 0.5751 0.6592 0.5940 1
O42 O 0.2987 0.9916 0.7787 1
O43 O 0.9249 0.3408 0.0940 1
O44 O 0.6732 0.0800 0.0283 1
O45 O 0.3268 0.9200 0.9717 1
O46 O 0.5751 0.8408 0.4060 1
O47 O 0.1495 0.1272 0.0706 1
O48 O 0.5441 0.5695 0.1498 1
W1 W 0.5374 0.2500 0.5000 1
W2 W 0.0374 0.2500 0.0000 1
W3 W 0.9626 0.7500 0.0000 1
W4 W 0.4626 0.7500 0.5000 1
P1 P 0.6183 0.3949 0.8571 1
P2 P 0.3817 0.8949 0.8571 1
P3 P 0.8817 0.6051 0.3571 1
P4 P 0.1183 0.1051 0.3571 1
P5 P 0.1183 0.3949 0.6429 1
P6 P 0.6183 0.1051 0.1429 1
P7 P 0.3817 0.6051 0.1429 1
P8 P 0.8817 0.8949 0.6429 1
Zr1 Zr 0.7738 0.9529 0.3700 1
Zr2 Zr 0.2738 0.5471 0.8700 1
Zr3 Zr 0.7738 0.5471 0.6300 1
Zr4 Zr 0.2738 0.9529 0.1300 1
Zr5 Zr 0.2262 0.4529 0.3700 1
Zr6 Zr 0.2262 0.0471 0.6300 1
Zr7 Zr 0.7262 0.4529 0.1300 1
Zr8 Zr 0.7262 0.0471 0.8700 1
```

Summary:
The volume comes out at 15.9 Å³ per atom. The calculated density comes out at 3.8 g cm⁻³. Its space group is Pbcn (60). As for the uncorrected formation energy: -49.87 eV per formula unit.

Entry 9:
Compound: HfIrI2N
Source: Alexandria
Functional: SCAN
Structure: PBEsol geometry

Structure (CIF):
```
data_HfIrI2N
_chemical_formula_sum 'Hf1 Ir1 I2 N1'
_cell_length_a 3.8271
_cell_length_b 5.6174
_cell_length_c 5.6174
_cell_angle_alpha 90.00
_cell_angle_beta 90.00
_cell_angle_gamma 90.00
_symmetry_space_group_name_H-M 'P 1'
_symmetry_Int_Tables_number 1
_symmetry_space_group_name_Hall 'P 1'
loop_
_atom_site_label
_atom_site_type_symbol
_atom_site_fract_x
_atom_site_fract_y
_atom_site_fract_z
_atom_site_occupancy
Hf1 Hf 0.0000 0.0000 0.0000 1
Ir1 Ir 0.5000 0.5000 0.5000 1
I1 I 0.0000 0.0000 0.5000 1
I2 I 0.0000 0.5000 0.0000 1
N1 N 0.5000 0.0000 0.0000 1
```

Summary:
The volume comes out at 24.2 Å³ per atom. The calculated density comes out at 8.8 g cm⁻³. Its space group is P4/mmm (123). As for the uncorrected formation energy: 4.05 eV per formula unit.

Entry 10:
Compound: KFeH2Se
Source: Alexandria
Functional: SCAN
Structure: PBEsol geometry

Structure (CIF):
```
data_KFeH2Se
_chemical_formula_sum 'K1 Fe1 H2 Se1'
_cell_length_a 4.0967
_cell_length_b 4.0967
_cell_length_c 4.5800
_cell_angle_alpha 90.00
_cell_angle_beta 90.00
_cell_angle_gamma 90.00
_symmetry_space_group_name_H-M 'P 1'
_symmetry_Int_Tables_number 1
_symmetry_space_group_name_Hall 'P 1'
loop_
_atom_site_label
_atom_site_type_symbol
_atom_site_fract_x
_atom_site_fract_y
_atom_site_fract_z
_atom_site_occupancy
H1 H 0.5000 0.0000 0.0000 1
H2 H 0.0000 0.5000 0.0000 1
Fe1 Fe 0.0000 0.0000 0.0000 1
Se1 Se 0.0000 0.0000 0.5000 1
K1 K 0.5000 0.5000 0.5000 1
```

Summary:
The volume comes out at 15.4 Å³ per atom. The calculated density comes out at 3.8 g cm⁻³. Its space group is P4/mmm (123). The total DFT energy (no corrections) comes out at -53.38 eV per cell.